Record 1
Here is crystalline SrNd6Se8 at its relaxed geometry from Alexandria. Energies are from PBE.

abc: 8.466 8.466 8.466
angles: 60.00 60.00 60.00
Element x y z (fractional)
Sr 0.000 0.000 0.000
Nd 0.000 0.000 0.500
Nd 0.000 0.500 0.000
Nd 0.000 0.500 0.500
Nd 0.500 0.000 0.000
Nd 0.500 0.000 0.500
Nd 0.500 0.500 0.000
Se 0.250 0.250 0.250
Se 0.256 0.256 0.744
Se 0.256 0.744 0.256
Se 0.256 0.744 0.744
Se 0.744 0.256 0.256
Se 0.744 0.256 0.744
Se 0.744 0.744 0.256
Se 0.750 0.750 0.750

Summary:
Formation energy from raw total energies   -43.51 kcal/mol of atoms
Density of states at the Fermi level   4.13 states/eV per cell

---

Record 2
Here is crystalline MoPtCl2 at its relaxed geometry from Alexandria. Energies are from PBE.

abc: 4.238 4.238 3.898
angles: 90.00 90.00 90.00
Element x y z (fractional)
Mo 0.000 0.000 0.000
Pt 0.500 0.500 0.000
Cl 0.000 0.500 0.500
Cl 0.500 0.000 0.500

Summary:
ΔE to the lowest computed polymorph   1044 meV/atom
Formation energy from raw total energies   18.68 kcal/mol of atoms
Density of states at the Fermi level   4.41 states/eV per cell

---

Record 3
Here is crystalline Be2InHg at its relaxed geometry from Alexandria. Energies are from PBE.

abc: 5.393 5.393 5.393
angles: 149.52 111.36 76.93
Element x y z (fractional)
Be 0.245 0.245 0.000
Be 0.755 0.755 0.000
In 0.500 0.000 0.500
Hg 0.000 0.500 0.500

Summary:
ΔE to the lowest computed polymorph   220 meV/atom
Density of states at the Fermi level   0.90 states/eV per cell

---

Record 4
Here is crystalline LaDy3Sb2 at its relaxed geometry from Alexandria. Energies are from PBE.

abc: 9.528 9.528 9.782
angles: 113.23 113.23 26.68
Element x y z (fractional)
La 0.112 0.112 0.125
La 0.888 0.888 0.875
Dy 0.058 0.058 0.675
Dy 0.311 0.311 0.112
Dy 0.358 0.358 0.524
Dy 0.642 0.642 0.476
Dy 0.689 0.689 0.888
Dy 0.942 0.942 0.325
Sb 0.244 0.244 0.711
Sb 0.487 0.487 0.157
Sb 0.513 0.513 0.843
Sb 0.756 0.756 0.289

Summary:
Formation energy from raw total energies   -16.49 kcal/mol of atoms
Density of states at the Fermi level   13.04 states/eV per cell

---

Record 5
Here is crystalline NiAgW2 at its relaxed geometry from Alexandria. Energies are from PBE.

abc: 9.464 9.464 9.464
angles: 16.75 16.75 16.75
Element x y z (fractional)
Ni 0.000 0.000 0.000
Ag 0.500 0.500 0.500
W 0.257 0.257 0.257
W 0.743 0.743 0.743

Summary:
ΔE to the lowest computed polymorph   180 meV/atom
Density of states at the Fermi level   5.19 states/eV per cell

---

Record 6
Here is crystalline GaBiAs3 at its relaxed geometry from Alexandria. Energies are from PBE.

abc: 4.951 4.951 4.951
angles: 90.00 90.00 90.00
Element x y z (fractional)
Ga 0.000 0.000 0.000
Bi 0.500 0.500 0.500
As 0.000 0.000 0.500
As 0.000 0.500 0.000
As 0.500 0.000 0.000

Summary:
ΔE to the lowest computed polymorph   0 meV/atom
Density of states at the Fermi level   4.01 states/eV per cell

---

Record 7
Here is crystalline RbNd2Sn3Se6 at its relaxed geometry from Alexandria. Energies are from PBE.

abc: 9.693 9.693 9.335
angles: 98.96 98.96 25.26
Element x y z (fractional)
Rb 0.000 0.000 0.000
Nd 0.329 0.329 0.662
Nd 0.671 0.671 0.338
Sn 0.000 0.000 0.500
Sn 0.335 0.335 0.170
Sn 0.665 0.665 0.830
Se 0.166 0.166 0.565
Se 0.187 0.187 0.118
Se 0.482 0.482 0.716
Se 0.518 0.518 0.284
Se 0.813 0.813 0.882
Se 0.834 0.834 0.435

Summary:
Formation energy from raw total energies   -23.18 kcal/mol of atoms
Density of states at the Fermi level   5.31 states/eV per cell

---

Record 8
Here is crystalline NaDyS2 at its relaxed geometry from Alexandria. Energies are from PBE.

abc: 7.070 7.070 7.070
angles: 32.73 32.73 32.73
Element x y z (fractional)
Na 0.000 0.000 0.000
Dy 0.500 0.500 0.500
S 0.242 0.242 0.242
S 0.758 0.758 0.758

Summary:
Formation energy from raw total energies   -42.65 kcal/mol of atoms
Density of states at the Fermi level   0.00 states/eV per cell